# 1
Material: HgRu3
Method: DFT, SCAN
State: PBEsol geometry

The structure in POSCAR format:
```
HgRu3
1.0
2.733 0.000 0.000
0.000 3.812 0.000
0.000 0.000 5.721
Hg Ru
1 3
direct
0.000 0.000 0.000 Hg
0.500 0.500 0.719 Ru
0.000 0.000 0.500 Ru
0.500 0.500 0.281 Ru
```

Calculated values
- magnetic moment (Bohr magnetons per cell) = 0.000
- SG = No. 47
- DFT total energy (eV per atom) = -42.685

***

# 2
Material: MgAg2
Method: DFT, SCAN
State: PBEsol geometry

The structure in POSCAR format:
```
MgAg2
1.0
4.763 0.000 0.000
0.000 4.887 0.000
0.000 -2.444 4.440
Mg Ag
2 4
direct
0.750 0.796 0.000 Mg
0.250 0.204 0.000 Mg
0.750 0.141 0.667 Ag
0.250 0.859 0.333 Ag
0.750 0.474 0.333 Ag
0.250 0.526 0.667 Ag
```

Calculated values
- magnetic moment (Bohr magnetons per cell) = 0.000
- SG = No. 63
- energy above the lowest structure with this stoichiometry (meV per atom) = 0.2
- DFT total energy (eV per atom) = -22.755

***

# 3
Material: SrCa2Mg
Method: DFT, SCAN
State: PBEsol geometry

The structure in POSCAR format:
```
SrCa2Mg
1.0
5.946 0.000 0.000
2.973 5.150 0.000
2.973 1.717 4.855
Sr Ca Mg
1 2 1
direct
0.250 0.250 0.250 Sr
0.000 0.000 0.000 Ca
0.750 0.750 0.750 Ca
0.500 0.500 0.500 Mg
```

Calculated values
- magnetic moment (Bohr magnetons per cell) = 0.444
- SG = No. 216
- DFT total energy (eV per atom) = -11.603